(1)
## TeAuC3 (PBE-GGA)

Data for a relaxed structure of TeAuC3.

Cell and atoms, written as POSCAR:
```
TeAuC3
1.0
4.223 0.000 0.000
0.000 4.223 0.000
0.000 0.000 4.223
C Te Au
3 1 1
Direct
0.000 0.500 0.000
0.500 0.000 0.000
0.000 0.000 0.500
0.500 0.500 0.500
0.000 0.000 0.000
```

Results
offset from the most stable computed form	0	meV/atom
calculated density	7.953	g cm⁻³
E_form (uncorrected)	2.9389	eV per atom
size of the total moment	2.34	Bohr magnetons per cell



(2)
## LaHgAu2 (PBE-GGA)

Data for a relaxed structure of LaHgAu2.

Cell and atoms, written as POSCAR:
```
LaHgAu2
1.0
-0.825 -3.525 -2.742
3.707 0.407 -1.637
3.886 -3.182 2.922
Au Hg La
2 1 1
Direct
0.000 0.202 0.972
0.500 0.048 0.277
0.000 0.475 0.424
0.500 0.775 0.826
```

Results
calculated density	12.107	g cm⁻³
calculated formation energy	-500	meV per atom
size of the total moment	0.00	Bohr magnetons per cell



(3)
## La2Ho3Er6Tm (PBE-GGA)

Data for a relaxed structure of La2Ho3Er6Tm.

Cell and atoms, written as POSCAR:
```
La2Ho3Er6Tm
1.0
-3.740 -4.574 1.713
4.409 1.959 3.817
-7.564 8.569 2.692
Ho Er La Tm
3 6 2 1
Direct
0.834 0.166 0.500
0.500 0.500 0.500
0.166 0.834 0.500
0.417 0.085 0.254
0.754 0.754 0.255
0.246 0.246 0.745
0.085 0.417 0.254
0.583 0.915 0.746
0.915 0.583 0.746
0.334 0.666 0.000
0.666 0.334 0.000
0.000 0.000 0.000
```

Results
calculated density	8.521	g cm⁻³
calculated formation energy	25	meV per atom
size of the total moment	0.00	Bohr magnetons per cell